A geometry-optimized SmTmInTc structure. Source: Alexandria via LeMat-Bulk, functional PBE.

Structure (POSCAR):
```
SmTmInTc
1.0
-3.4972 -3.5543 1.0476
0.9808 -4.9041 -0.9739
0.7524 -3.2596 3.8432
Tc Sm Tm In
1 1 1 1
Cartesian
-0.8820 -5.8590 1.9585
-0.4410 -2.9295 0.9792
-1.3229 -8.7885 2.9377
0.0000 0.0000 0.0000
```

## Properties
Calculated volume   23.38 Å³ per atom
Formation enthalpy at 0 K   -11.1 kJ/mol of atoms
DOS(E_F)   3.18 states/eV per cell
SG   F-43m (216)

---

A geometry-optimized Sm3InTe3 structure. Source: Alexandria via LeMat-Bulk, functional PBE.

Structure (POSCAR):
```
Sm3InTe3
1.0
-6.4161 -2.6407 -6.1824
-4.6792 -7.9298 1.2587
-8.0758 -0.4293 1.5799
Te Sm In
6 6 2
Cartesian
-8.2642 -3.4254 1.0326
-12.0488 -7.6568 -0.0458
-7.5891 -7.8006 0.3494
-10.9068 -7.5745 -4.3764
-7.1222 -3.3431 -3.2980
-11.5818 -3.1992 -3.6931
-9.4007 -2.1271 -1.5636
-12.8107 -5.8543 -2.6173
-9.8946 -6.1505 1.6300
-6.3602 -5.1455 -0.7265
-9.2763 -4.8493 -4.9738
-9.7703 -8.8727 -1.7802
-11.6756 -4.0225 -0.1339
-7.4954 -6.9773 -3.2099
```

## Properties
Calculated volume   33.41 Å³ per atom
DOS(E_F)   13.14 states/eV per cell
SG   R-3 (148)
Energy   -33.227 eV/f.u.

---

A geometry-optimized Sm6In2Te structure. Source: Alexandria via LeMat-Bulk, functional PBE.

Structure (POSCAR):
```
Sm6In2Te
1.0
-0.7008 -4.0205 -0.4974
2.9026 -1.5156 8.1607
-8.5219 1.6584 -1.3982
Sm Te In
6 1 2
Cartesian
1.4079 -2.9283 4.6946
-5.5132 -1.0057 -1.0946
0.8003 -0.4179 2.2501
-2.5647 -1.9542 2.4178
0.5531 -1.0582 7.7738
-4.0709 0.1037 4.8970
-0.3500 -2.0105 -0.2475
-0.9076 -0.4573 4.9752
-4.7117 0.6001 1.7873
```

## Properties
Calculated volume   30.59 Å³ per atom
DOS(E_F)   12.37 states/eV per cell
SG   P-62m (189)
Energy   -41.518 eV/f.u.

---

A geometry-optimized SmInTe structure. Source: Alexandria via LeMat-Bulk, functional PBE.

Structure (POSCAR):
```
SmInTe
1.0
5.2183 0.0000 0.0000
2.6091 4.5192 0.0000
2.6091 1.5064 8.1986
Sm In Te
2 2 2
Cartesian
5.2183 3.0128 6.0638
5.2183 3.0128 2.1349
7.8274 4.5192 3.8293
2.6091 1.5064 4.3694
2.6091 1.5064 1.2276
7.8274 4.5192 6.9710
```

## Properties
Calculated volume   32.22 Å³ per atom
DOS(E_F)   3.19 states/eV per cell
SG   R-3m (166)
Energy   -12.946 eV/f.u.